Entry 1:
VASP calculation (GGA-PBE) on a relaxed TbSnHgPb crystal.

Results
Fermi-level density of states in states/eV/f.u.: 2.24
Calculated formation energy in eV per atom: -0.248

a = 7.640 Å, b = 7.640 Å, c = 7.640 Å
α = 90.00°, β = 90.00°, γ = 90.00°
Space group F-43m (No. 216)
Asymmetric unit:
1 Tb 0.000 0.000 0.000 (multiplicity 4)
2 Sn 0.250 0.250 0.250 (multiplicity 4)
3 Hg 0.250 0.250 0.750 (multiplicity 4)
4 Pb 0.000 0.000 0.500 (multiplicity 4)

=====

Entry 2:
VASP calculation (GGA-PBE) on a relaxed FeCoSiRh crystal.

Results
ΔE_f (raw) in kJ/mol of formula units: -132
Fermi-level density of states in states/eV/f.u.: 4.22

a = 5.811 Å, b = 5.811 Å, c = 5.811 Å
α = 90.00°, β = 90.00°, γ = 90.00°
Space group F-43m (No. 216)
Asymmetric unit:
1 Fe 0.000 0.000 0.000 (multiplicity 4)
2 Co 0.250 0.250 0.250 (multiplicity 4)
3 Si 0.000 0.000 0.500 (multiplicity 4)
4 Rh 0.250 0.250 0.750 (multiplicity 4)

=====

Entry 3:
VASP calculation (GGA-PBE) on a relaxed YThU2P4 crystal.

Results
Fermi-level density of states in states/eV/f.u.: 13.64
Calculated formation energy in eV per atom: -1.250

a = 6.940 Å, b = 3.987 Å, c = 6.967 Å
α = 90.00°, β = 109.16°, γ = 90.00°
Space group P2/m (No. 10)
Asymmetric unit:
1 Y 0.000 0.000 0.000 (multiplicity 1)
2 Th 0.000 0.500 0.500 (multiplicity 1)
3 U 0.500 0.000 0.500 (multiplicity 1)
4 U 0.500 0.500 0.000 (multiplicity 1)
5 P 0.261 0.500 0.249 (multiplicity 2)
6 P 0.263 0.000 0.759 (multiplicity 2)

=====

Entry 4:
VASP calculation (GGA-PBE) on a relaxed CeYPt2 crystal.

Results
Fermi-level density of states in states/eV/f.u.: 5.04
Calculated formation energy in eV per atom: -1.052

a = 4.0311 Å, b = 4.0311 Å, c = 20.9774 Å
α = 90.00°, β = 90.00°, γ = 120.00°
Space group R3m (No. 160, hexagonal axes)
Asymmetric unit:
1 Ce 0.0000 0.0000 0.0000 (multiplicity 3)
2 Y 0.0000 0.0000 0.8284 (multiplicity 3)
3 Pt 0.0000 0.0000 0.4141 (multiplicity 3)
4 Pt 0.0000 0.0000 0.5814 (multiplicity 3)

=====

Entry 5:
VASP calculation (GGA-PBE) on a relaxed KAlS4 crystal.

Results
ΔE_f (raw) in kJ/mol of formula units: -470
Fermi-level density of states in states/eV/f.u.: 0.00

a = 6.001 Å, b = 7.790 Å, c = 8.092 Å
α = 87.83°, β = 68.36°, γ = 77.49°
Space group P-1 (No. 2)
Asymmetric unit:
1 K 0.016 0.213 0.268 (multiplicity 2)
2 Al 0.358 0.618 0.151 (multiplicity 2)
3 S 0.048 0.351 0.665 (multiplicity 2)
4 S 0.221 0.160 0.796 (multiplicity 2)
5 S 0.413 0.827 0.314 (multiplicity 2)
6 S 0.445 0.665 0.861 (multiplicity 2)

=====

Entry 6:
VASP calculation (GGA-PBE) on a relaxed CaTb2Pm3 crystal.

Results
Fermi-level density of states in states/eV/f.u.: 9.75
Calculated formation energy in eV per atom: 0.196

a = 12.335 Å, b = 10.132 Å, c = 6.706 Å
α = 90.00°, β = 90.19°, γ = 90.00°
Space group C2/m (No. 12)
Asymmetric unit:
1 Ca 0.020 0.000 0.250 (multiplicity 4)
2 Tb 0.000 0.328 0.000 (multiplicity 4)
3 Tb 0.000 0.329 0.500 (multiplicity 4)
4 Pm 0.212 0.500 0.751 (multiplicity 4)
5 Pm 0.246 0.171 0.749 (multiplicity 8)

=====

Entry 7:
VASP calculation (GGA-PBE) on a relaxed K3Hg2O crystal.

Results
ΔE_f (raw) in kJ/mol of formula units: -342
Fermi-level density of states in states/eV/f.u.: 3.20

a = 8.4850 Å, b = 8.4850 Å, c = 7.1495 Å
α = 90.00°, β = 90.00°, γ = 120.00°
Space group P6_3/mmc (No. 194)
Asymmetric unit:
1 K 0.1301 0.2601 0.2500 (multiplicity 6)
2 Hg 0.3333 0.6667 0.5347 (multiplicity 4)
3 O 0.0000 0.0000 0.0000 (multiplicity 2)

=====

Entry 8:
VASP calculation (GGA-PBE) on a relaxed Th2Pt2Au crystal.

Results
Fermi-level density of states in states/eV/f.u.: 3.92
Calculated formation energy in eV per atom: -1.104

a = 7.880 Å, b = 7.880 Å, c = 3.787 Å
α = 90.00°, β = 90.00°, γ = 90.00°
Space group P4/mbm (No. 127)
Asymmetric unit:
1 Th 0.175 0.325 0.000 (multiplicity 4)
2 Pt 0.128 0.628 0.500 (multiplicity 4)
3 Au 0.000 0.000 0.500 (multiplicity 2)

=====

Entry 9:
VASP calculation (GGA-PBE) on a relaxed CeYZn crystal.

Results
Fermi-level density of states in states/eV/f.u.: 5.57
Calculated formation energy in eV per atom: 0.017

a = 5.0309 Å, b = 5.0309 Å, c = 3.4612 Å
α = 90.00°, β = 90.00°, γ = 120.00°
Space group P3m1 (No. 156)
Asymmetric unit:
1 Ce 0.0000 0.0000 0.0000 (multiplicity 1)
2 Y 0.6667 0.3333 0.4149 (multiplicity 1)
3 Zn 0.3333 0.6667 0.6667 (multiplicity 1)

=====

Entry 10:
VASP calculation (GGA-PBE) on a relaxed La3Tb4In4 crystal.

Results
Fermi-level density of states in states/eV/f.u.: 14.17
Calculated formation energy in eV per atom: -0.260

a = 3.724 Å, b = 5.366 Å, c = 34.022 Å
α = 90.00°, β = 90.00°, γ = 90.00°
Space group Immm (No. 71)
Asymmetric unit:
1 La 0.000 0.000 0.000 (multiplicity 2)
2 La 0.000 0.500 0.138 (multiplicity 4)
3 Tb 0.000 0.000 0.265 (multiplicity 4)
4 Tb 0.000 0.500 0.408 (multiplicity 4)
5 In 0.000 0.000 0.455 (multiplicity 4)
6 In 0.000 0.500 0.317 (multiplicity 4)

=====

Entry 11:
VASP calculation (GGA-PBE) on a relaxed MoOsS crystal.

Results
ΔE_f (raw) in kJ/mol of formula units: -34
Fermi-level density of states in states/eV/f.u.: 1.98

a = 2.9341 Å, b = 2.9341 Å, c = 6.1215 Å
α = 90.00°, β = 90.00°, γ = 120.00°
Space group P3m1 (No. 156)
Asymmetric unit:
1 Mo 0.0000 0.0000 0.0000 (multiplicity 1)
2 Os 0.3333 0.6667 0.6559 (multiplicity 1)
3 S 0.3333 0.6667 0.2699 (multiplicity 1)

=====

Entry 12:
VASP calculation (GGA-PBE) on a relaxed YNi2Te crystal.

Results
ΔE_f (raw) in kJ/mol of formula units: -31
Fermi-level density of states in states/eV/f.u.: 3.23

a = 6.671 Å, b = 6.671 Å, c = 6.671 Å
α = 90.00°, β = 90.00°, γ = 90.00°
Space group F-43m (No. 216)
Asymmetric unit:
1 Y 0.000 0.000 0.000 (multiplicity 4)
2 Ni 0.000 0.000 0.500 (multiplicity 4)
3 Ni 0.250 0.250 0.750 (multiplicity 4)
4 Te 0.250 0.250 0.250 (multiplicity 4)

=====

Entry 13:
VASP calculation (GGA-PBE) on a relaxed Dy2HBr3 crystal.

Results
Fermi-level density of states in states/eV/f.u.: 2.23

a = 17.904 Å, b = 3.814 Å, c = 11.292 Å
α = 90.00°, β = 122.05°, γ = 90.00°
Space group C2/m (No. 12)
Asymmetric unit:
1 Dy 0.073 0.000 0.462 (multiplicity 4)
2 Dy 0.138 0.500 0.795 (multiplicity 4)
3 H 0.078 0.000 0.666 (multiplicity 4)
4 Br 0.036 0.500 0.244 (multiplicity 4)
5 Br 0.166 0.000 0.011 (multiplicity 4)
6 Br 0.212 0.500 0.619 (multiplicity 4)

=====

Entry 14:
VASP calculation (GGA-PBE) on a relaxed NiAsW2 crystal.

Results
Fermi-level density of states in states/eV/f.u.: 2.71
Calculated formation energy in eV per atom: 1.254

a = 5.468 Å, b = 5.468 Å, c = 11.119 Å
α = 90.00°, β = 90.00°, γ = 90.00°
Space group I-42d (No. 122)
Asymmetric unit:
1 Ni 0.000 0.000 0.000 (multiplicity 4)
2 As 0.000 0.000 0.500 (multiplicity 4)
3 W 0.216 0.250 0.125 (multiplicity 8)

=====

Entry 15:
VASP calculation (GGA-PBE) on a relaxed La8Dy3Er3 crystal.

Results
Fermi-level density of states in states/eV/f.u.: 19.64
Calculated formation energy in eV per atom: 0.100

a = 5.689 Å, b = 11.081 Å, c = 15.218 Å
α = 90.00°, β = 90.00°, γ = 90.00°
Space group Immm (No. 71)
Asymmetric unit:
1 La 0.000 0.157 0.230 (multiplicity 8)
2 La 0.000 0.338 0.393 (multiplicity 8)
3 Dy 0.000 0.000 0.500 (multiplicity 2)
4 Dy 0.000 0.500 0.175 (multiplicity 4)
5 Er 0.000 0.000 0.000 (multiplicity 2)
6 Er 0.000 0.300 0.000 (multiplicity 4)

=====

Entry 16:
VASP calculation (GGA-PBE) on a relaxed KB3C crystal.

Results
Fermi-level density of states in states/eV/f.u.: 3.03
Calculated formation energy in eV per atom: 2.417

a = 3.866 Å, b = 3.866 Å, c = 3.866 Å
α = 90.00°, β = 90.00°, γ = 90.00°
Space group Pm-3m (No. 221)
Asymmetric unit:
1 K 0.000 0.000 0.000 (multiplicity 1)
2 B 0.000 0.500 0.500 (multiplicity 3)
3 C 0.500 0.500 0.500 (multiplicity 1)

=====

Entry 17:
VASP calculation (GGA-PBE) on a relaxed LiLaSn4Pd2 crystal.

Results
Fermi-level density of states in states/eV/f.u.: 2.99
Calculated formation energy in eV per atom: -0.550

a = 4.6515 Å, b = 4.6515 Å, c = 28.7285 Å
α = 90.00°, β = 90.00°, γ = 120.00°
Space group R-3m (No. 166, hexagonal axes)
Asymmetric unit:
1 Li 0.0000 0.0000 0.0000 (multiplicity 3)
2 La 0.0000 0.0000 0.5000 (multiplicity 3)
3 Sn 0.0000 0.0000 0.1033 (multiplicity 6)
4 Sn 0.0000 0.0000 0.3722 (multiplicity 6)
5 Pd 0.0000 0.0000 0.2619 (multiplicity 6)

=====

Entry 18:
VASP calculation (GGA-PBE) on a relaxed NdCdAg5 crystal.

Results
Fermi-level density of states in states/eV/f.u.: 3.55
Calculated formation energy in eV per atom: -0.154

a = 9.048 Å, b = 5.685 Å, c = 11.440 Å
α = 90.00°, β = 90.00°, γ = 90.00°
Space group Pnma (No. 62)
Asymmetric unit:
1 Nd 0.244 0.250 0.062 (multiplicity 4)
2 Cd 0.142 0.750 0.854 (multiplicity 4)
3 Ag 0.064 0.008 0.308 (multiplicity 8)
4 Ag 0.065 0.750 0.089 (multiplicity 4)
5 Ag 0.100 0.250 0.519 (multiplicity 4)
6 Ag 0.185 0.250 0.759 (multiplicity 4)

=====

Entry 19:
VASP calculation (GGA-PBE) on a relaxed NaAg2PSe4 crystal.

Results
ΔE_f (raw) in kJ/mol of formula units: -249

a = 6.479 Å, b = 6.491 Å, c = 10.193 Å
α = 90.00°, β = 90.00°, γ = 90.00°
Space group I222 (No. 23)
Asymmetric unit:
1 Na 0.000 0.000 0.000 (multiplicity 2)
2 Ag 0.000 0.500 0.251 (multiplicity 4)
3 P 0.000 0.000 0.500 (multiplicity 2)
4 Se 0.203 0.202 0.376 (multiplicity 8)

=====

Entry 20:
VASP calculation (GGA-PBE) on a relaxed YThTl6 crystal.

Results
Fermi-level density of states in states/eV/f.u.: 3.69
Calculated formation energy in eV per atom: -0.199

a = 4.795 Å, b = 4.795 Å, c = 9.574 Å
α = 90.00°, β = 90.00°, γ = 90.00°
Space group P4/mmm (No. 123)
Asymmetric unit:
1 Y 0.000 0.000 0.000 (multiplicity 1)
2 Th 0.000 0.000 0.500 (multiplicity 1)
3 Tl 0.000 0.500 0.245 (multiplicity 4)
4 Tl 0.500 0.500 0.000 (multiplicity 1)
5 Tl 0.500 0.500 0.500 (multiplicity 1)

=====

Entry 21:
VASP calculation (GGA-PBE) on a relaxed NdTe3Pb crystal.

Results
ΔE_f (raw) in kJ/mol of formula units: -379

a = 19.331 Å, b = 4.767 Å, c = 8.167 Å
α = 90.00°, β = 95.03°, γ = 90.00°
Space group C2/m (No. 12)
Asymmetric unit:
1 Nd 0.211 0.000 0.262 (multiplicity 4)
2 Te 0.034 0.000 0.162 (multiplicity 4)
3 Te 0.152 0.500 0.468 (multiplicity 4)
4 Te 0.192 0.000 0.872 (multiplicity 4)
5 Pb 0.080 0.500 0.798 (multiplicity 4)

=====

Entry 22:
VASP calculation (GGA-PBE) on a relaxed LiCr3P crystal.

Results
Fermi-level density of states in states/eV/f.u.: 3.50
Calculated formation energy in eV per atom: 1.284

a = 4.076 Å, b = 4.076 Å, c = 4.076 Å
α = 90.00°, β = 90.00°, γ = 90.00°
Space group Pm-3m (No. 221)
Asymmetric unit:
1 Li 0.000 0.000 0.000 (multiplicity 1)
2 Cr 0.000 0.000 0.500 (multiplicity 3)
3 P 0.500 0.500 0.500 (multiplicity 1)

=====

Entry 23:
VASP calculation (GGA-PBE) on a relaxed Tl2CdTc crystal.

Results
Fermi-level density of states in states/eV/f.u.: 2.83
Calculated formation energy in eV per atom: 0.574

a = 3.2515 Å, b = 3.2515 Å, c = 29.0056 Å
α = 90.00°, β = 90.00°, γ = 120.00°
Space group R-3m (No. 166, hexagonal axes)
Asymmetric unit:
1 Tl 0.0000 0.0000 0.2428 (multiplicity 6)
2 Cd 0.0000 0.0000 0.0000 (multiplicity 3)
3 Tc 0.0000 0.0000 0.5000 (multiplicity 3)

=====

Entry 24:
VASP calculation (GGA-PBE) on a relaxed GdDyZnCr crystal.

Results
Fermi-level density of states in states/eV/f.u.: 2.00
Calculated formation energy in eV per atom: 0.037

a = 7.163 Å, b = 7.163 Å, c = 7.163 Å
α = 90.00°, β = 90.00°, γ = 90.00°
Space group F-43m (No. 216)
Asymmetric unit:
1 Gd 0.000 0.000 0.000 (multiplicity 4)
2 Dy 0.000 0.000 0.500 (multiplicity 4)
3 Zn 0.250 0.250 0.250 (multiplicity 4)
4 Cr 0.250 0.250 0.750 (multiplicity 4)

=====

| no. | DFT total energy (eV/atom) | total magnetization (μB per formula unit) | calculated density (g/cm3) |
| --- | --- | --- | --- |
| 1 | -3.41 | 0.000 | 10.2 |
| 2 | -7.43 | 4.945 | 8.3 |
| 3 | -8.51 | 0.005 | 8.4 |
| 4 | -7.17 | 0.276 | 10.4 |
| 5 | -4.37 | 0.000 | 1.9 |
| 6 | -4.06 | 0.000 | 6.3 |
| 7 | -2.07 | 0.000 | 4.0 |
| 8 | -7.14 | 0.000 | 14.8 |
| 9 | -4.54 | 0.729 | 6.4 |
| 10 | -4.28 | 0.000 | 7.4 |
| 11 | -8.85 | 0.000 | 11.6 |
| 12 | -5.37 | 0.000 | 7.5 |
| 13 | -4.30 | 0.934 | 5.7 |
| 14 | -7.83 | 0.000 | 10.0 |
| 15 | -4.68 | 0.000 | 7.3 |
| 16 | -3.65 | 0.000 | 2.4 |
| 17 | -4.70 | 0.000 | 7.7 |
| 18 | -3.00 | 0.000 | 9.0 |
| 19 | -3.62 | 0.000 | 4.5 |
| 20 | -3.71 | 0.000 | 11.7 |
| 21 | -4.37 | 0.000 | 6.5 |
| 22 | -5.95 | 7.596 | 4.8 |
| 23 | -3.43 | 0.977 | 11.6 |
| 24 | -7.36 | 10.515 | 7.9 |